Density functional theory data (PBE with a Hubbard U) for an optimized crystal structure of Rb2WSeF6.

Unit cell a=7.172 b=7.172 c=10.073 alpha=90.00 beta=90.00 gamma=90.00
Space group I4/mmm (No. 139)
One atom of each set of equivalent atoms:
Rb 0.000 0.500 0.250 (multiplicity 4)
W 0.000 0.000 0.000 (multiplicity 2)
Se 0.000 0.000 0.500 (multiplicity 2)
F 0.000 0.000 0.193 (multiplicity 4)
F 0.190 0.190 0.000 (multiplicity 8)

Size of the total moment = 0.0 Bohr magnetons per cell
DFT total energy = -43.944 eV per formula unit

---

Density functional theory data (PBE with a Hubbard U) for an optimized crystal structure of Rb2WSeF.

Unit cell a=4.923 b=4.923 c=6.853 alpha=90.00 beta=90.00 gamma=90.00
Space group P4/mmm (No. 123)
One atom of each set of equivalent atoms:
Rb 0.000 0.500 0.000 (multiplicity 2)
W 0.000 0.000 0.500 (multiplicity 1)
Se 0.500 0.500 0.500 (multiplicity 1)
F 0.500 0.500 0.000 (multiplicity 1)

Size of the total moment = 4.4 Bohr magnetons per cell
DFT total energy = -16.028 eV per formula unit

---

> Among the records above, which one has the lowest size of the total moment?

Rb2WSeF6

---

> Which of these has the lowest size of the total moment?

Rb2WSeF6

---

> What is the size of the total moment in the first record?

0.0 Bohr magnetons per cell

---

> size of the total moment of number 2 (Rb2WSeF)?

4.4 Bohr magnetons per cell